Here is RbTe2SN after structural relaxation from Alexandria. Energies are from PBE.

Cell: 6.894 6.894 5.549 Å, 90.00 90.00 90.00°
Each line ends with the local moment (μB).
Fractional coordinates of all 5 atoms:
1 S 0.500 0.500 0.500  1.07
2 Te 0.000 0.500 0.000  0.88
3 Te 0.500 0.000 0.000  0.88
4 Rb 0.000 0.000 0.000  0.05
5 N 0.000 0.000 0.500  1.79

Results
* space-group type: P4/mmm
* raw formation energy: 1.857 eV per atom
* E above lowest polymorph: 7.38 eV/f.u.
* uncorrected energy: -2.084 eV per atom

Here is Sn6Pb4Br19 after structural relaxation from Alexandria. Energies are from PBE.

Cell: 11.120 11.120 11.120 Å, 109.47 109.47 109.47°
Fractional coordinates of all 29 atoms:
1 Sn 0.363 0.500 0.863
2 Sn 0.637 0.500 0.137
3 Sn 0.137 0.637 0.500
4 Sn 0.863 0.363 0.500
5 Sn 0.500 0.863 0.363
6 Sn 0.500 0.137 0.637
7 Pb 0.000 0.000 0.723
8 Pb 0.000 0.723 0.000
9 Pb 0.277 0.277 0.277
10 Pb 0.723 0.000 0.000
11 Br 0.722 0.000 0.722
12 Br 0.278 0.000 0.278
13 Br 0.278 0.278 0.000
14 Br 0.722 0.722 0.000
15 Br 0.000 0.722 0.722
16 Br 0.000 0.278 0.278
17 Br 0.000 0.000 0.000
18 Br 0.407 0.346 0.620
19 Br 0.593 0.212 0.939
20 Br 0.727 0.788 0.380
21 Br 0.939 0.593 0.212
22 Br 0.273 0.654 0.061
23 Br 0.620 0.407 0.346
24 Br 0.061 0.273 0.654
25 Br 0.380 0.727 0.788
26 Br 0.654 0.061 0.273
27 Br 0.212 0.939 0.593
28 Br 0.346 0.620 0.407
29 Br 0.788 0.380 0.727

Results
* space-group type: I23
* raw formation energy: -0.728 eV per atom
* uncorrected energy: -3.163 eV per atom

Here is Cd2In2Br after structural relaxation from Alexandria. Energies are from PBE.

Cell: 4.290 4.290 8.538 Å, 75.45 75.45 90.00°
Fractional coordinates of all 5 atoms:
1 Cd 0.750 0.250 0.500
2 Cd 0.250 0.750 0.500
3 Br 0.000 0.000 0.000
4 In 0.404 0.404 0.192
5 In 0.596 0.596 0.808

Results
* space-group type: I4/mmm
* raw formation energy: -0.091 eV per atom
* E above lowest polymorph: 0.15 eV/f.u.
* uncorrected energy: -1.887 eV per atom

Here is RbCrH3 after structural relaxation from Alexandria. Energies are from PBE.

Cell: 3.996 3.996 3.996 Å, 90.00 90.00 90.00°
Each line ends with the local moment (μB).
Fractional coordinates of all 5 atoms:
1 Cr 0.000 0.000 0.000  3.66
2 Rb 0.500 0.500 0.500  0.03
3 H 0.000 0.500 0.000  -0.04
4 H 0.000 0.000 0.500  -0.05
5 H 0.500 0.000 0.000  -0.02

Results
* space-group type: Pm-3m
* E above lowest polymorph: 0.00 eV/f.u.
* uncorrected energy: -4.068 eV per atom

Here is PrHo2Er3Te6 after structural relaxation from Alexandria. Energies are from PBE.

Cell: 4.326 8.789 9.777 Å, 103.45 102.78 90.00°
Fractional coordinates of all 12 atoms:
1 Pr 0.500 0.000 0.000
2 Ho 0.837 0.673 0.674
3 Ho 0.163 0.327 0.326
4 Er 0.500 0.500 0.000
5 Er 0.840 0.169 0.679
6 Er 0.160 0.831 0.321
7 Te 0.326 0.916 0.653
8 Te 0.668 0.583 0.336
9 Te 0.674 0.084 0.347
10 Te 0.001 0.263 0.002
11 Te 0.999 0.737 0.998
12 Te 0.332 0.417 0.664

Results
* space-group type: C2/m
* raw formation energy: -1.261 eV per atom
* uncorrected energy: -5.134 eV per atom

Here is PaBeNi after structural relaxation from Alexandria. Energies are from PBE.

Cell: 5.914 5.914 5.914 Å, 90.00 90.00 90.00°
Fractional coordinates of all 12 atoms:
1 Ni 0.504 0.504 0.504
2 Ni 0.996 0.496 0.004
3 Ni 0.004 0.996 0.496
4 Ni 0.496 0.004 0.996
5 Be 0.280 0.280 0.280
6 Be 0.220 0.720 0.780
7 Be 0.780 0.220 0.720
8 Be 0.720 0.780 0.220
9 Pa 0.027 0.027 0.027
10 Pa 0.473 0.973 0.527
11 Pa 0.527 0.473 0.973
12 Pa 0.973 0.527 0.473

Results
* formation enthalpy at 0 K: 269 meV per atom
* space-group type: P2_13
* E above lowest polymorph: 1.47 eV/f.u.
* uncorrected energy: -6.065 eV per atom

Here is LaReF2 after structural relaxation from Alexandria. Energies are from PBE.

Cell: 4.935 4.935 4.935 Å, 49.50 49.50 49.50°
Fractional coordinates of all 4 atoms:
1 Re 0.500 0.500 0.500
2 F 0.799 0.799 0.799
3 F 0.201 0.201 0.201
4 La 0.000 0.000 0.000

Results
* space-group type: R-3m
* raw formation energy: -0.841 eV per atom
* E above lowest polymorph: 1.39 eV/f.u.
* uncorrected energy: -6.121 eV per atom

Here is ZrTlRu after structural relaxation from Alexandria. Energies are from PBE.

Cell: 5.367 5.367 5.367 Å, 143.96 139.32 55.46°
Fractional coordinates of all 3 atoms:
1 Ru 0.014 0.014 0.000
2 Tl 0.338 0.338 0.000
3 Zr 0.648 0.648 0.000

Results
* formation enthalpy at 0 K: -65 meV per atom
* space-group type: Imm2
* E above lowest polymorph: 0.00 eV/f.u.
* uncorrected energy: -6.795 eV per atom

Here is ZnCr2Cl after structural relaxation from Alexandria. Energies are from PBE.

Cell: 8.151 8.151 8.151 Å, 21.24 21.24 21.24°
Each line ends with the local moment (μB).
Fractional coordinates of all 4 atoms:
1 Cr 0.993 0.993 0.993  1.65
2 Cr 0.262 0.262 0.262  -1.44
3 Zn 0.510 0.510 0.510  -0.01
4 Cl 0.735 0.735 0.735  0.03

Results
* space-group type: R3m
* raw formation energy: 0.113 eV per atom
* E above lowest polymorph: 0.00 eV/f.u.
* uncorrected energy: -5.479 eV per atom

Here is SmGdBeAl after structural relaxation from Alexandria. Energies are from PBE.

Cell: 5.065 5.065 5.065 Å, 60.00 60.00 60.00°
Each line ends with the local moment (μB).
Fractional coordinates of all 4 atoms:
1 Be 0.000 0.000 0.000  0.01
2 Gd 0.250 0.250 0.250  7.10
3 Al 0.500 0.500 0.500  -0.01
4 Sm 0.750 0.750 0.750  0.06

Results
* formation enthalpy at 0 K: -89 meV per atom
* space-group type: F-43m
* uncorrected energy: -6.656 eV per atom

Here is SrCaPrEu after structural relaxation from Alexandria. Energies are from PBE.

Cell: 6.213 6.213 6.213 Å, 60.00 60.00 60.00°
Each line ends with the local moment (μB).
Fractional coordinates of all 4 atoms:
1 Eu 0.750 0.750 0.750  6.89
2 Pr 0.000 0.000 0.000  0.06
3 Ca 0.250 0.250 0.250  0.00
4 Sr 0.500 0.500 0.500  0.01

Results
* formation enthalpy at 0 K: 106 meV per atom
* space-group type: F-43m
* uncorrected energy: -4.578 eV per atom

Here is Ta6P2N after structural relaxation from Alexandria. Energies are from PBE.

Cell: 3.313 5.550 7.731 Å, 91.14 90.00 107.37°
Fractional coordinates of all 9 atoms:
1 Ta 0.869 0.739 0.448
2 Ta 0.131 0.261 0.552
3 Ta 0.853 0.707 0.066
4 Ta 0.147 0.293 0.934
5 Ta 0.547 0.094 0.223
6 Ta 0.453 0.906 0.777
7 P 0.236 0.473 0.256
8 P 0.764 0.527 0.744
9 N 0.500 0.000 0.500

Results
* space-group type: C2/m
* raw formation energy: -0.725 eV per atom
* uncorrected energy: -10.754 eV per atom

Q: Number 10 is which compound?
A: SmGdBeAl